This record from the Alexandria database describes a relaxed structure of KTe. The functional is PBE-GGA.

Calculated values
total DFT energy (no corrections) = -34.18 eV per cell
formation energy without anion corrections = -0.729 eV per atom

Lattice parameters (Å, degrees): 4.1848 11.0656 10.1498 90.00 90.00 90.00
Closest atoms and distances in Å follow each position.
Space group Amm2 (No. 38)
Unique sites:
K 0.0000 0.0000 0.0000 x2  6 Te 3.72-3.75, 2 K 3.79
K 0.0000 0.1600 0.5454 x4  6 Te 3.44-3.68, 2 K 3.54-3.79
Te 0.5000 0.0000 0.3032 x2  2 Te 3.09
Te 0.5000 0.2204 0.8096 x4  1 Te 3.09, 2 K 3.44

***

This record from the Alexandria database describes a relaxed structure of K5Te. The functional is PBE-GGA.

Calculated values
total DFT energy (no corrections) = -21.60 eV per cell
relative energy among the computed polymorphs = 46 meV/atom
formation energy without anion corrections = -0.362 eV per atom

Lattice parameters (Å, degrees): 5.5119 18.5513 6.0764 90.00 90.00 90.00
Closest atoms and distances in Å follow each position.
Space group Cmmm (No. 65)
Unique sites:
K 0.0000 0.0000 0.0000 x2  8 K 3.93-4.05, 4 Te 4.10
K 0.0000 0.1346 0.5000 x4  2 Te 3.72, 6 K 3.93-4.13
K 0.0000 0.3404 0.0000 x4  8 K 4.05-4.34, 2 Te 4.24
Te 0.0000 0.5000 0.5000 x2  8 K 3.72-4.10

***

This record from the Alexandria database describes a relaxed structure of KTe. The functional is PBE-GGA.

Calculated values
total DFT energy (no corrections) = -9.31 eV per cell
formation energy without anion corrections = -0.208 eV per atom

Lattice parameters (Å, degrees): 3.5323 3.5323 13.4985 90.00 90.00 90.00
Closest atoms and distances in Å follow each position.
Space group P4/nmm (No. 129, origin choice 2)
Unique sites:
K 0.2500 0.2500 0.1729 x2  4 Te 3.45, 4 K 3.53
Te 0.2500 0.2500 0.6509 x2  4 K 3.45, 4 Te 3.53

***

This record from the Alexandria database describes a relaxed structure of KTe2. The functional is PBE-GGA.

Calculated values
total DFT energy (no corrections) = -8.25 eV per cell
relative energy among the computed polymorphs = 273 meV/atom
formation energy without anion corrections = -0.288 eV per atom

Lattice parameters (Å, degrees): 6.4246 6.4246 3.0112 90.00 90.00 90.00
Closest atoms and distances in Å follow each position.
Space group P4/mmm (No. 123)
Unique sites:
K 0.0000 0.0000 0.0000 x1  2 K 3.01
Te 0.0000 0.5000 0.5000 x2  2 Te 3.01